Entry w
The following is a PBE-GGA calculation of a relaxed structure of Ba3RhCl2, from Alexandria.

abc: 7.810 8.042 8.042
angles: 116.96 100.63 100.63
Atoms (fractional coordinates):
Rh (0.750, 0.405, 0.595)
Rh (0.250, 0.595, 0.405)
Cl (0.250, 0.920, 0.080)
Cl (0.750, 0.080, 0.920)
Cl (0.750, 0.756, 0.244)
Cl (0.250, 0.244, 0.756)
Ba (0.505, 0.641, 0.789)
Ba (0.995, 0.211, 0.359)
Ba (0.500, 0.000, 0.500)
Ba (0.495, 0.359, 0.211)
Ba (0.005, 0.789, 0.641)
Ba (0.000, 0.500, 0.000)

Computed properties:
- D(E_F): 9.253 states/eV per cell
- M_tot: 0.01 μB per formula unit

---

Entry x
The following is a PBE-GGA calculation of a relaxed structure of Ba3RhCl2, from Alexandria.

abc: 7.903 7.903 8.316
angles: 99.11 99.11 119.95
Atoms (fractional coordinates):
Ba (0.407, 0.097, 0.224)
Ba (0.051, 0.385, 0.223)
Ba (0.260, 0.236, 0.776)
Ba (0.903, 0.593, 0.776)
Ba (0.764, 0.740, 0.224)
Ba (0.615, 0.949, 0.777)
Rh (0.001, 0.999, 0.000)
Rh (0.666, 0.334, 0.000)
Cl (0.333, 0.667, 0.000)
Cl (0.494, 0.506, 0.500)
Cl (0.833, 0.167, 0.500)
Cl (0.172, 0.828, 0.500)

Computed properties:
- D(E_F): 8.251 states/eV per cell
- M_tot: 0.00 μB per formula unit

---

Bottom line: entry x, by a margin of 0.010 eV/atom.

---

Entry w
The following is a PBE-GGA calculation of a relaxed structure of Ba6Rh2Cl, from Alexandria.

abc: 4.581 7.931 12.916
angles: 112.54 90.00 106.79
Atoms (fractional coordinates):
Ba (0.671, 0.343, 0.603)
Ba (0.984, 0.967, 0.237)
Ba (0.016, 0.033, 0.763)
Ba (0.677, 0.355, 0.080)
Ba (0.323, 0.645, 0.920)
Ba (0.329, 0.657, 0.397)
Cl (0.000, 0.000, 0.500)
Rh (0.334, 0.668, 0.179)
Rh (0.666, 0.332, 0.821)

Computed properties:
- D(E_F): 6.626 states/eV per cell
- M_tot: 0.00 μB per formula unit

---

Entry x
The following is a PBE-GGA calculation of a relaxed structure of Ba6Rh2Cl, from Alexandria.

abc: 6.137 7.994 10.280
angles: 113.38 90.00 112.57
Atoms (fractional coordinates):
Ba (0.013, 0.026, 0.205)
Ba (0.320, 0.640, 0.933)
Ba (0.660, 0.319, 0.603)
Ba (0.340, 0.681, 0.397)
Ba (0.680, 0.360, 0.067)
Ba (0.987, 0.974, 0.795)
Cl (0.000, 0.000, 0.500)
Rh (0.183, 0.366, 0.109)
Rh (0.817, 0.634, 0.891)

Computed properties:
- D(E_F): 7.491 states/eV per cell
- M_tot: 0.00 μB per formula unit

---

Bottom line: entry w, by a margin of 0.072 eV/atom.

---

Entry w
The following is a PBE-GGA calculation of a relaxed structure of Ba4RhCl2, from Alexandria.

abc: 4.522 7.560 9.258
angles: 113.51 104.13 90.00
Atoms (fractional coordinates):
Ba (0.888, 0.209, 0.775)
Ba (0.392, 0.730, 0.785)
Ba (0.608, 0.270, 0.215)
Ba (0.112, 0.791, 0.225)
Cl (0.258, 0.243, 0.517)
Cl (0.742, 0.757, 0.483)
Rh (0.000, 0.000, 0.000)

Computed properties:
- D(E_F): 3.929 states/eV per cell
- M_tot: 0.00 μB per formula unit

---

Entry x
The following is a PBE-GGA calculation of a relaxed structure of Ba4RhCl2, from Alexandria.

abc: 6.079 6.079 9.002
angles: 109.73 109.73 90.00
Atoms (fractional coordinates):
Cl (0.602, 0.602, 0.205)
Cl (0.398, 0.398, 0.795)
Ba (0.500, 0.000, 0.000)
Ba (0.205, 0.205, 0.409)
Ba (0.000, 0.500, 0.000)
Ba (0.795, 0.795, 0.591)
Rh (0.000, 0.000, 0.000)

Computed properties:
- D(E_F): 4.734 states/eV per cell
- M_tot: 0.40 μB per formula unit

---

Bottom line: entry w, by a margin of 0.112 eV/atom.

---

Entry w
The following is a PBE-GGA calculation of a relaxed structure of BaRhSCl2, from Alexandria.

abc: 4.922 4.922 4.820
angles: 90.00 90.00 90.00
Atoms (fractional coordinates):
Ba (0.500, 0.500, 0.500)
Cl (0.500, 0.000, 0.000)
Cl (0.000, 0.500, 0.000)
S (0.000, 0.000, 0.500)
Rh (0.000, 0.000, 0.000)

Computed properties:
- D(E_F): 3.847 states/eV per cell
- M_tot: 0.00 μB per formula unit

---

Entry x
The following is a PBE-GGA calculation of a relaxed structure of BaRhSCl2, from Alexandria.

abc: 5.905 5.905 6.137
angles: 90.00 90.00 90.00
Site moments in Bohr magnetons follow the coordinates.
Atoms (fractional coordinates):
Ba (0.000, 0.000, 0.000)  0.01
Cl (0.500, 0.000, 0.000)  0.03
Cl (0.000, 0.500, 0.000)  0.03
S (0.000, 0.000, 0.500)  0.61
Rh (0.500, 0.500, 0.500)  1.66

Computed properties:
- D(E_F): 11.283 states/eV per cell
- M_tot: 3.00 μB per formula unit

---

Bottom line: entry w, by a margin of 1.191 eV/atom.

---

Entry w
The following is a PBE-GGA calculation of a relaxed structure of BaRu2Cl, from Alexandria.

abc: 6.196 6.196 3.095
angles: 90.00 90.00 127.99
Site moments in Bohr magnetons follow the coordinates.
Atoms (fractional coordinates):
Cl (0.000, 0.500, 0.500)  0.08
Ba (0.500, 0.000, 0.500)  -0.04
Ru (0.000, 0.000, 0.000)  1.17
Ru (0.500, 0.500, 0.000)  1.17

Computed properties:
- D(E_F): 5.447 states/eV per cell
- M_tot: 2.54 μB per formula unit

---

Entry x
The following is a PBE-GGA calculation of a relaxed structure of BaRu2Cl, from Alexandria.

abc: 3.376 3.399 8.344
angles: 78.07 90.00 90.00
Atoms (fractional coordinates):
Ba (0.000, 0.563, 0.498)
Cl (0.500, 0.943, 0.734)
Ru (0.000, 0.774, 0.080)
Ru (0.500, 0.220, 0.188)

Computed properties:
- D(E_F): 3.088 states/eV per cell
- M_tot: 0.00 μB per formula unit

---

Bottom line: entry x, by a margin of 0.877 eV/atom.

---

Entry w
The following is a PBE-GGA calculation of a relaxed structure of BaRu2Cl, from Alexandria.

abc: 6.151 4.158 4.093
angles: 89.50 90.00 90.00
Site moments in Bohr magnetons follow the coordinates.
Atoms (fractional coordinates):
Ru (0.000, 0.890, 0.999)  0.39
Ru (0.000, 0.610, 0.501)  0.39
Cl (0.500, 0.750, 0.750)  0.02
Ba (0.500, 0.250, 0.250)  0.01

Computed properties:
- D(E_F): 4.303 states/eV per cell
- M_tot: 0.95 μB per formula unit

---

Entry x
The following is a PBE-GGA calculation of a relaxed structure of BaRu2Cl, from Alexandria.

abc: 9.463 9.463 9.463
angles: 18.92 18.92 18.92
Atoms (fractional coordinates):
Cl (0.750, 0.750, 0.750)
Ru (0.484, 0.484, 0.484)
Ru (0.016, 0.016, 0.016)
Ba (0.250, 0.250, 0.250)

Computed properties:
- D(E_F): 5.885 states/eV per cell
- M_tot: 0.00 μB per formula unit

---

Bottom line: entry w, by a margin of 0.795 eV/atom.

---

Entry w
The following is a PBE-GGA calculation of a relaxed structure of BaRu2Cl, from Alexandria.

abc: 3.225 3.225 7.785
angles: 90.00 90.00 90.00
Site moments in Bohr magnetons follow the coordinates.
Atoms (fractional coordinates):
Ru (0.000, 0.000, 0.928)  0.75
Ru (0.000, 0.000, 0.572)  0.75
Ba (0.500, 0.500, 0.250)  0.01
Cl (0.500, 0.500, 0.750)  0.03

Computed properties:
- D(E_F): 6.154 states/eV per cell
- M_tot: 1.71 μB per formula unit

---

Entry x
The following is a PBE-GGA calculation of a relaxed structure of BaRu2Cl, from Alexandria.

abc: 3.401 3.401 8.468
angles: 90.00 90.00 92.56
Atoms (fractional coordinates):
Cl (0.500, 0.500, 0.717)
Ru (0.500, 0.500, 0.194)
Ru (0.000, 0.000, 0.094)
Ba (0.000, 0.000, 0.495)

Computed properties:
- D(E_F): 3.135 states/eV per cell
- M_tot: 0.00 μB per formula unit

---

Entry y
The following is a PBE-GGA calculation of a relaxed structure of BaRu2Cl, from Alexandria.

abc: 4.887 4.887 4.887
angles: 60.00 60.00 60.00
Site moments in Bohr magnetons follow the coordinates.
Atoms (fractional coordinates):
Ba (0.500, 0.500, 0.500)  -0.07
Cl (0.000, 0.000, 0.000)  0.14
Ru (0.250, 0.250, 0.250)  1.56
Ru (0.750, 0.750, 0.750)  1.56

Computed properties:
- D(E_F): 4.173 states/eV per cell
- M_tot: 3.22 μB per formula unit

---

Bottom line: entry x, by a margin of 1.039 eV/atom.

---

Entry w
The following is a PBE-GGA calculation of a relaxed structure of BaRu2Cl, from Alexandria.

abc: 3.307 3.307 7.627
angles: 90.00 90.00 104.89
Atoms (fractional coordinates):
Ru (0.000, 0.000, 0.936)
Ru (0.000, 0.000, 0.564)
Cl (0.500, 0.500, 0.750)
Ba (0.500, 0.500, 0.250)

Computed properties:
- D(E_F): 7.094 states/eV per cell
- M_tot: 0.00 μB per formula unit

---

Entry x
The following is a PBE-GGA calculation of a relaxed structure of BaRu2Cl, from Alexandria.

abc: 4.035 4.035 7.488
angles: 78.93 78.93 58.28
Atoms (fractional coordinates):
Ba (0.477, 0.477, 0.521)
Cl (0.220, 0.220, 0.227)
Ru (0.077, 0.077, 0.830)
Ru (0.725, 0.725, 0.922)

Computed properties:
- D(E_F): 2.430 states/eV per cell
- M_tot: 0.00 μB per formula unit

---

Bottom line: entry x, by a margin of 1.125 eV/atom.

---

Entry w
The following is a PBE-GGA calculation of a relaxed structure of BaRu2Cl, from Alexandria.

abc: 4.995 4.995 8.683
angles: 73.28 73.28 90.00
Atoms (fractional coordinates):
Ba (0.750, 0.250, 0.500)
Ba (0.000, 0.000, 0.000)
Ru (0.375, 0.625, 0.750)
Ru (0.375, 0.125, 0.250)
Ru (0.875, 0.625, 0.750)
Ru (0.375, 0.625, 0.250)
Cl (0.250, 0.750, 0.500)
Cl (0.500, 0.500, 0.000)

Computed properties:
- D(E_F): 5.791 states/eV per cell
- M_tot: 0.00 μB per formula unit

---

Entry x
The following is a PBE-GGA calculation of a relaxed structure of BaRu2Cl, from Alexandria.

abc: 6.959 6.959 6.959
angles: 147.45 147.45 46.69
Atoms (fractional coordinates):
Ru (0.000, 0.000, 0.000)
Ru (0.500, 0.500, 0.000)
Cl (0.750, 0.250, 0.500)
Ba (0.250, 0.750, 0.500)

Computed properties:
- D(E_F): 5.726 states/eV per cell
- M_tot: 0.00 μB per formula unit

---

Entry y
The following is a PBE-GGA calculation of a relaxed structure of BaRu2Cl, from Alexandria.

abc: 5.675 5.675 5.675
angles: 140.99 114.98 78.51
Atoms (fractional coordinates):
Ba (0.485, 0.485, 0.000)
Ru (0.835, 0.335, 0.500)
Ru (0.988, 0.988, 0.000)
Cl (0.192, 0.692, 0.500)

Computed properties:
- D(E_F): 5.355 states/eV per cell
- M_tot: 0.00 μB per formula unit

---

Entry z
The following is a PBE-GGA calculation of a relaxed structure of BaRu2Cl, from Alexandria.

abc: 4.987 4.987 4.987
angles: 60.00 60.00 60.00
Site moments in Bohr magnetons follow the coordinates.
Atoms (fractional coordinates):
Ru (0.250, 0.250, 0.250)  1.71
Ru (0.000, 0.000, 0.000)  1.77
Cl (0.750, 0.750, 0.750)  0.04
Ba (0.500, 0.500, 0.500)  0.00

Computed properties:
- D(E_F): 3.582 states/eV per cell
- M_tot: 3.61 μB per formula unit

---

Bottom line: entry y, by a margin of 0.034 eV/atom.

---

Entry w
The following is a PBE-GGA calculation of a relaxed structure of BaRu2Cl, from Alexandria.

abc: 3.928 3.866 7.483
angles: 59.04 90.00 90.00
Atoms (fractional coordinates):
Cl (0.000, 0.000, 0.500)
Ru (0.500, 0.500, 0.000)
Ru (0.000, 0.000, 0.000)
Ba (0.500, 0.500, 0.500)

Computed properties:
- D(E_F): 4.752 states/eV per cell
- M_tot: 0.00 μB per formula unit

---

Entry x
The following is a PBE-GGA calculation of a relaxed structure of BaRu2Cl, from Alexandria.

abc: 4.142 4.142 5.885
angles: 90.00 90.00 90.00
Site moments in Bohr magnetons follow the coordinates.
Atoms (fractional coordinates):
Ba (0.500, 0.500, 0.250)  0.05
Ru (0.000, 0.000, 0.951)  1.97
Ru (0.000, 0.000, 0.549)  1.97
Cl (0.500, 0.500, 0.750)  0.08

Computed properties:
- D(E_F): 5.324 states/eV per cell
- M_tot: 4.66 μB per formula unit

---

Bottom line: entry w, by a margin of 0.519 eV/atom.

---

Entry w
The following is a PBE-GGA calculation of a relaxed structure of BaRu3Cl, from Alexandria.

abc: 4.599 4.599 4.599
angles: 90.00 90.00 90.00
Atoms (fractional coordinates):
Ba (0.500, 0.500, 0.500)
Ru (0.000, 0.500, 0.000)
Ru (0.500, 0.000, 0.000)
Ru (0.000, 0.000, 0.500)
Cl (0.000, 0.000, 0.000)

Computed properties:
- D(E_F): 7.183 states/eV per cell
- M_tot: 0.00 μB per formula unit

---

Entry x
The following is a PBE-GGA calculation of a relaxed structure of BaRu3Cl, from Alexandria.

abc: 5.203 5.203 5.203
angles: 90.00 90.00 90.00
Site moments in Bohr magnetons follow the coordinates.
Atoms (fractional coordinates):
Ru (0.000, 0.500, 0.000)  1.96
Ru (0.500, 0.000, 0.000)  1.79
Ru (0.000, 0.000, 0.500)  1.63
Ba (0.000, 0.000, 0.000)  -0.10
Cl (0.500, 0.500, 0.500)  0.11

Computed properties:
- D(E_F): 7.459 states/eV per cell
- M_tot: 5.64 μB per formula unit

---

Bottom line: entry w, by a margin of 1.590 eV/atom.

---

Entry w
The following is a PBE-GGA calculation of a relaxed structure of Ba2S2Cl, from Alexandria.

abc: 8.519 8.519 4.268
angles: 90.00 90.00 90.00
Site moments in Bohr magnetons follow the coordinates.
Atoms (fractional coordinates):
S (0.615, 0.885, 0.500)  0.27
S (0.885, 0.385, 0.500)  0.27
S (0.385, 0.115, 0.500)  0.27
S (0.115, 0.615, 0.500)  0.27
Cl (0.000, 0.000, 0.000)  0.00
Cl (0.500, 0.500, 0.000)  0.00
Ba (0.325, 0.825, 0.000)  0.02
Ba (0.825, 0.675, 0.000)  0.02
Ba (0.675, 0.175, 0.000)  0.02
Ba (0.175, 0.325, 0.000)  0.02

Computed properties:
- D(E_F): 0.000 states/eV per cell
- M_tot: 1.00 μB per formula unit

---

Entry x
The following is a PBE-GGA calculation of a relaxed structure of Ba2S2Cl, from Alexandria.

abc: 4.739 4.739 8.731
angles: 74.25 74.25 90.00
Atoms (fractional coordinates):
Ba (0.365, 0.365, 0.270)
Ba (0.635, 0.635, 0.730)
S (0.750, 0.250, 0.500)
S (0.250, 0.750, 0.500)
Cl (0.000, 0.000, 0.000)

Computed properties:
- D(E_F): 3.631 states/eV per cell
- M_tot: 0.00 μB per formula unit

---

Bottom line: entry w, by a margin of 0.274 eV/atom.